Density functional theory data (PBE with a Hubbard U) for Cr3CoHg3O8 after structural relaxation.

CIF file:
```
data_Cr3CoHg3O8
_chemical_formula_sum 'Cr6 Co2 Hg6 O16'
_cell_length_a 10.2561
_cell_length_b 5.9301
_cell_length_c 7.3556
_cell_angle_alpha 90.00
_cell_angle_beta 118.77
_cell_angle_gamma 90.00
_space_group_name_H-M_alt 'C 1 2/m 1'
_space_group_IT_number 12
_space_group_name_Hall '-C 2y'
loop_
_atom_site_label
_atom_site_fract_x
_atom_site_fract_y
_atom_site_fract_z
Cr1 0.0000 0.0000 0.0000
Cr2 0.2500 0.2500 0.0000
Co1 0.0000 0.5000 0.0000
Hg1 0.0000 0.5000 0.5000
Hg2 0.2500 0.2500 0.5000
O1 0.0253 0.2601 0.8425
O2 0.2141 0.5000 0.1575
O3 0.2203 0.0000 0.1545
```

Summary:
Size of the total moment ... 14.87 μB/cell
E_tot ... -5.64 eV per atom